Entry 1:
Here is a geometry-optimized Y11Zn9Pd4 structure from Alexandria. Energies are from PBE-GGA.

Cell: 12.6308 12.6308 3.6342 Å, 90.00 90.00 112.63°
With the nearest neighbours (Å) after each atom.
Fractional positions:
Y 0.0000 0.0000 0.0000  8 Zn 3.06
Y 0.0704 0.4125 0.0000  2 Pd 2.87, 4 Zn 3.09-3.12
Y 0.1704 0.8296 0.0000  8 Zn 3.05-3.25, 2 Y 3.38
Y 0.2741 0.2741 0.0000  4 Pd 2.91, 4 Zn 3.15
Y 0.3613 0.6387 0.0000  4 Pd 2.91, 4 Zn 3.14
Y 0.4125 0.0704 0.0000  2 Pd 2.87, 4 Zn 3.09-3.12
Y 0.5875 0.9296 0.0000  2 Pd 2.87, 4 Zn 3.09-3.12
Y 0.6387 0.3613 0.0000  4 Pd 2.91, 4 Zn 3.14
Y 0.7259 0.7259 0.0000  4 Pd 2.91, 4 Zn 3.15
Y 0.8296 0.1704 0.0000  8 Zn 3.05-3.25, 2 Y 3.38
Y 0.9296 0.5875 0.0000  2 Pd 2.87, 4 Zn 3.09-3.12
Zn 0.0545 0.2096 0.5000  8 Y 3.06-3.25, 1 Pd 3.10, 1 Zn 3.26
Zn 0.1553 0.6303 0.5000  1 Zn 3.00, 8 Y 3.05-3.25, 1 Pd 3.06
Zn 0.2096 0.0545 0.5000  8 Y 3.06-3.25, 1 Pd 3.10, 1 Zn 3.26
Zn 0.3697 0.8447 0.5000  1 Zn 3.00, 8 Y 3.05-3.25, 1 Pd 3.06
Zn 0.5000 0.5000 0.5000  4 Pd 2.88
Zn 0.6303 0.1553 0.5000  1 Zn 3.00, 8 Y 3.05-3.25, 1 Pd 3.06
Zn 0.7904 0.9455 0.5000  8 Y 3.06-3.25, 1 Pd 3.10, 1 Zn 3.26
Zn 0.8447 0.3697 0.5000  1 Zn 3.00, 8 Y 3.05-3.25, 1 Pd 3.06
Zn 0.9455 0.7904 0.5000  8 Y 3.06-3.25, 1 Pd 3.10, 1 Zn 3.26
Pd 0.2570 0.4463 0.5000  6 Y 2.87-2.91, 3 Zn 2.88-3.10
Pd 0.4463 0.2570 0.5000  6 Y 2.87-2.91, 3 Zn 2.88-3.10
Pd 0.5537 0.7430 0.5000  6 Y 2.87-2.91, 3 Zn 2.88-3.10
Pd 0.7430 0.5537 0.5000  6 Y 2.87-2.91, 3 Zn 2.88-3.10

Values from the calculation:
Its symmetry is Cmmm. Its calculated formation energy is -0.526 eV per atom.

***

Entry 2:
Here is a geometry-optimized YZnPd4 structure from Alexandria. Energies are from PBE-GGA.

Cell: 9.2410 9.2410 5.5925 Å, 90.00 90.00 150.78°
With the nearest neighbours (Å) after each atom.
Fractional positions:
Y 0.1406 0.8594 0.5000  10 Pd 2.79-3.11
Y 0.8594 0.1406 0.0000  10 Pd 2.79-3.11
Zn 0.4162 0.5838 0.4989  5 Pd 2.47-2.71
Zn 0.5838 0.4162 0.9989  5 Pd 2.47-2.71
Pd 0.1608 0.8392 0.9998  2 Zn 2.71, 6 Pd 2.80-2.82, 2 Y 2.82
Pd 0.2960 0.7040 0.2513  1 Zn 2.56, 7 Pd 2.77-2.85
Pd 0.2960 0.7040 0.7475  1 Zn 2.56, 7 Pd 2.77-2.85
Pd 0.4456 0.5544 0.9958  1 Zn 2.47
Pd 0.5544 0.4456 0.4958  1 Zn 2.47
Pd 0.7040 0.2960 0.2475  1 Zn 2.56, 7 Pd 2.77-2.85
Pd 0.7040 0.2960 0.7513  1 Zn 2.56, 7 Pd 2.77-2.85
Pd 0.8392 0.1608 0.4998  2 Zn 2.71, 6 Pd 2.80-2.82, 2 Y 2.82

Values from the calculation:
Its symmetry is Cmc2_1. Its calculated formation energy is -0.483 eV per atom.

***

Entry 3:
Here is a geometry-optimized Y5ZnPd4 structure from Alexandria. Energies are from PBE-GGA.

Cell: 3.5321 3.5321 17.6225 Å, 90.00 90.00 90.00°
With the nearest neighbours (Å) after each atom.
Fractional positions:
Y 0.0000 0.0000 0.0000  8 Pd 3.05
Y 0.0000 0.0000 0.1993  8 Pd 3.05-3.06
Y 0.0000 0.0000 0.3981  4 Pd 3.04, 4 Zn 3.08
Y 0.0000 0.0000 0.6019  4 Pd 3.04, 4 Zn 3.08
Y 0.0000 0.0000 0.8007  8 Pd 3.05-3.06
Zn 0.5000 0.5000 0.5000  8 Y 3.08
Pd 0.5000 0.5000 0.0998  8 Y 3.05
Pd 0.5000 0.5000 0.3001  8 Y 3.04-3.06
Pd 0.5000 0.5000 0.6999  8 Y 3.04-3.06
Pd 0.5000 0.5000 0.9002  8 Y 3.05

Values from the calculation:
Its symmetry is P4/mmm. Its calculated formation energy is -0.769 eV per atom.

***

Entry 4:
Here is a geometry-optimized Y2Zn5Pd3 structure from Alexandria. Energies are from PBE-GGA.

Cell: 8.5521 8.5521 5.6066 Å, 108.33 108.33 84.70°
With the nearest neighbours (Å) after each atom.
Fractional positions:
Y 0.1161 0.6314 0.8725  4 Pd 3.03-3.17, 4 Zn 3.07-3.15
Y 0.3686 0.8839 0.6275  4 Pd 3.03-3.17, 4 Zn 3.07-3.15
Y 0.6314 0.1161 0.3725  4 Pd 3.03-3.17, 4 Zn 3.07-3.15
Y 0.8839 0.3686 0.1275  4 Pd 3.03-3.17, 4 Zn 3.07-3.15
Zn 0.0008 0.9992 0.7500  4 Pd 2.59, 2 Zn 2.80
Zn 0.2383 0.5278 0.3799  3 Pd 2.51-2.56, 2 Zn 2.57-2.58
Zn 0.2608 0.2655 0.0103  4 Zn 2.57-2.80, 3 Pd 2.61-2.71
Zn 0.2655 0.2608 0.5103  4 Zn 2.57-2.80, 3 Pd 2.61-2.71
Zn 0.4722 0.7617 0.1201  3 Pd 2.51-2.56, 2 Zn 2.57-2.58
Zn 0.5278 0.2383 0.8799  3 Pd 2.51-2.56, 2 Zn 2.57-2.58
Zn 0.7345 0.7392 0.4897  4 Zn 2.57-2.80, 3 Pd 2.61-2.71
Zn 0.7392 0.7345 0.9897  4 Zn 2.57-2.80, 3 Pd 2.61-2.71
Zn 0.7617 0.4722 0.6201  3 Pd 2.51-2.56, 2 Zn 2.57-2.58
Zn 0.9992 0.0008 0.2500  4 Pd 2.59, 2 Zn 2.80
Pd 0.0082 0.7319 0.3729  5 Zn 2.51-2.61
Pd 0.2681 0.9918 0.1271  5 Zn 2.51-2.61
Pd 0.4966 0.5034 0.7500  6 Zn 2.56-2.71, 2 Pd 2.80
Pd 0.5034 0.4966 0.2500  6 Zn 2.56-2.71, 2 Pd 2.80
Pd 0.7319 0.0082 0.8729  5 Zn 2.51-2.61
Pd 0.9918 0.2681 0.6271  5 Zn 2.51-2.61

Values from the calculation:
Its symmetry is C2/c. Its calculated formation energy is -0.546 eV per atom.

***

Entry 5:
Here is a geometry-optimized YZn4Pd6 structure from Alexandria. Energies are from PBE-GGA.

Cell: 6.5903 6.5903 6.5903 Å, 122.85 122.85 85.13°
With the nearest neighbours (Å) after each atom.
Fractional positions:
Y 0.0000 0.0000 0.0000  8 Pd 3.06-3.15, 4 Zn 3.18
Zn 0.2506 0.2506 0.6844  6 Pd 2.45-2.72, 2 Zn 2.67
Zn 0.4339 0.7494 0.0000  6 Pd 2.45-2.72, 2 Zn 2.67
Zn 0.5661 0.5661 0.3156  6 Pd 2.45-2.72, 2 Zn 2.67
Zn 0.7494 0.4339 0.0000  6 Pd 2.45-2.72, 2 Zn 2.67
Pd 0.0000 0.5000 0.5000  4 Zn 2.54
Pd 0.0975 0.5371 0.0000  4 Zn 2.45-2.72
Pd 0.4629 0.4629 0.5603  4 Zn 2.45-2.72
Pd 0.5000 0.0000 0.5000  4 Zn 2.54
Pd 0.5371 0.0975 0.0000  4 Zn 2.45-2.72
Pd 0.9025 0.9025 0.4397  4 Zn 2.45-2.72

Values from the calculation:
Its symmetry is I-42m. Its calculated formation energy is -0.374 eV per atom.

***

Entry 6:
Here is a geometry-optimized Y2Zr2Pd structure from Alexandria. Energies are from PBE-GGA.

Cell: 6.9995 6.9995 5.2013 Å, 90.00 90.00 90.00°
With the nearest neighbours (Å) after each atom.
Fractional positions:
Y 0.1663 0.3337 0.0000  6 Zr 3.21-3.39, 1 Y 3.29
Y 0.3337 0.8337 0.0000  6 Zr 3.21-3.39, 1 Y 3.29
Y 0.6663 0.1663 0.0000  6 Zr 3.21-3.39, 1 Y 3.29
Y 0.8337 0.6663 0.0000  6 Zr 3.21-3.39, 1 Y 3.29
Zr 0.1444 0.6444 0.5000  2 Pd 2.69, 1 Zr 2.86
Zr 0.3556 0.1444 0.5000  2 Pd 2.69, 1 Zr 2.86
Zr 0.6444 0.8556 0.5000  2 Pd 2.69, 1 Zr 2.86
Zr 0.8556 0.3556 0.5000  2 Pd 2.69, 1 Zr 2.86
Pd 0.0000 0.0000 0.5000  4 Zr 2.69
Pd 0.5000 0.5000 0.5000  4 Zr 2.69

Values from the calculation:
Its symmetry is P4/mbm. Its calculated formation energy is -0.109 eV per atom.

***

Entry 7:
Here is a geometry-optimized YZr2Pd9 structure from Alexandria. Energies are from PBE-GGA.

Cell: 4.0641 4.0641 12.2086 Å, 90.00 90.00 90.00°
With the nearest neighbours (Å) after each atom.
Fractional positions:
Y 0.0000 0.0000 0.0000  12 Pd 2.87-2.94
Zr 0.0000 0.0000 0.3334  12 Pd 2.81-2.88
Zr 0.0000 0.0000 0.6666  12 Pd 2.81-2.88
Pd 0.0000 0.5000 0.1745  2 Zr 2.81, 8 Pd 2.84-2.94, 2 Y 2.94
Pd 0.0000 0.5000 0.5000  8 Pd 2.84-2.87, 4 Zr 2.88
Pd 0.0000 0.5000 0.8255  2 Zr 2.81, 8 Pd 2.84-2.94, 2 Y 2.94
Pd 0.5000 0.0000 0.1745  2 Zr 2.81, 8 Pd 2.84-2.94, 2 Y 2.94
Pd 0.5000 0.0000 0.5000  8 Pd 2.84-2.87, 4 Zr 2.88
Pd 0.5000 0.0000 0.8255  2 Zr 2.81, 8 Pd 2.84-2.94, 2 Y 2.94
Pd 0.5000 0.5000 0.0000  4 Y 2.87, 8 Pd 2.94
Pd 0.5000 0.5000 0.3372  8 Pd 2.84, 4 Zr 2.87
Pd 0.5000 0.5000 0.6628  8 Pd 2.84, 4 Zr 2.87

Values from the calculation:
Its symmetry is P4/mmm. Its calculated formation energy is -0.846 eV per atom.

***

Entry 8:
Here is a geometry-optimized YZr3Pd structure from Alexandria. Energies are from PBE-GGA.

Cell: 5.1105 5.1105 5.1105 Å, 90.00 90.00 90.00°
With the nearest neighbours (Å) after each atom.
Fractional positions:
Y 0.0000 0.0000 0.0000  6 Zr 2.56
Zr 0.0000 0.0000 0.5000  2 Y 2.56
Zr 0.0000 0.5000 0.0000  2 Y 2.56
Zr 0.5000 0.0000 0.0000  2 Y 2.56
Pd 0.5000 0.5000 0.5000  12 Zr 3.61

Values from the calculation:
Its symmetry is Pm-3m. The value obtained for the energy above the most stable polymorph in this dataset is 1202 meV/atom. Its calculated formation energy is 1.468 eV per atom.

***

Entry 9:
Here is a geometry-optimized YZrPd2 structure from Alexandria. Energies are from PBE-GGA.

Cell: 6.1344 6.1344 6.1344 Å, 104.16 104.16 120.70°
With the nearest neighbours (Å) after each atom.
Fractional positions:
Y 0.0000 0.0000 0.0000  4 Pd 2.87, 2 Zr 3.03
Y 0.7500 0.2500 0.5000  4 Pd 2.87, 2 Zr 3.03
Zr 0.2500 0.7500 0.5000  4 Pd 2.68
Zr 0.5000 0.5000 0.0000  4 Pd 2.68
Pd 0.1431 0.6250 0.0181  2 Zr 2.68, 2 Y 2.87
Pd 0.3750 0.3931 0.5181  2 Zr 2.68, 2 Y 2.87
Pd 0.6069 0.1250 0.9819  2 Zr 2.68, 2 Y 2.87
Pd 0.8750 0.8569 0.4819  2 Zr 2.68, 2 Y 2.87

Values from the calculation:
Its symmetry is I-42d. Its calculated formation energy is -0.319 eV per atom.

***

Entry 10:
Here is a geometry-optimized YZrPd3 structure from Alexandria. Energies are from PBE-GGA.

Cell: 4.9311 4.9311 4.9311 Å, 90.00 90.00 90.00°
With the nearest neighbours (Å) after each atom.
Fractional positions:
Y 0.0000 0.0000 0.0000  12 Pd 3.49
Zr 0.5000 0.5000 0.5000  6 Pd 2.47
Pd 0.0000 0.5000 0.5000  2 Zr 2.47
Pd 0.5000 0.0000 0.5000  2 Zr 2.47
Pd 0.5000 0.5000 0.0000  2 Zr 2.47

Values from the calculation:
Its symmetry is Pm-3m. The value obtained for the energy above the most stable polymorph in this dataset is 0 meV/atom. Its calculated formation energy is -0.009 eV per atom.

***

Entry 11:
Here is a geometry-optimized YZrPd structure from Alexandria. Energies are from PBE-GGA.

Cell: 6.1728 6.1728 6.1728 Å, 147.47 147.47 46.67°
With the nearest neighbours (Å) after each atom.
Fractional positions:
Y 0.0000 0.0000 0.0000  4 Pd 3.10, 5 Zr 3.32-3.42, 4 Y 3.46
Zr 0.3013 0.3013 0.0000  4 Pd 2.87
Pd 0.6688 0.6688 0.0000  4 Zr 2.87, 4 Y 3.10

Values from the calculation:
Its symmetry is I4mm. Its calculated formation energy is -0.430 eV per atom.

***

VASP energy / eV/atom: -4.83; -5.23; -6.21; -4.03; -4.26; -7.15; -6.70; -5.99; -6.67; -6.13; -7.17